K2YBO4: optimized geometry, PBE.

Cell and atoms, written as extended XYZ:
```
16
Lattice="-2.181 -3.123 -3.367 -0.917 -5.779 2.116 -11.487 1.512 2.202" Properties=species:S:1:pos:R:3 pbc="T T T"
K -7.645 0.376 0.766
K -6.023 -1.987 -1.931
K -11.679 -3.340 1.069
K -3.997 -5.611 -1.802
Y -7.838 -4.476 -0.366
Y 0.000 0.000 0.000
B -6.747 -2.914 1.317
B -1.091 -1.561 -1.683
O -2.457 -5.893 0.673
O -11.394 -0.447 1.411
O -13.102 -5.898 1.153
O -2.217 -2.543 -1.334
O -6.298 -4.362 1.078
O -7.930 -2.517 0.425
O -9.321 -5.969 -0.568
O -5.621 -1.933 0.968
```

- Density: 2.4 g/cm3
- Total energy: -6.437 eV per atom
- M_tot: 0.00 μB per cell
- Space group: Fddd (70)
- Raw formation energy: -2.04 eV per atom